Material: NdErSbTe
Method: DFT, PBE-GGA
State: optimized geometry

Cell and atoms, written as POSCAR:
```
NdErSbTe
1.0
4.420 0.000 0.000
2.210 3.828 0.000
2.210 1.276 7.267
Sb Er Nd Te
1 1 1 1
Direct
0.698 0.698 0.905
0.440 0.440 0.679
0.948 0.948 0.157
0.190 0.190 0.431
```

Formation energy without anion corrections: -1.276 eV/atom
DFT total energy: -21.7 eV for the cell shown
DOS at the Fermi energy: 1.80 states/eV/f.u.
Crystal system: trigonal